CoSbSeN2 (PBEsol, optimized geometry); symmetry = P4/mmm; final energy = -25.69 eV per cell
1.0
-0.241 3.245 -2.167
-0.707 -2.171 -3.173
-5.498 0.281 1.033
Sb N Co Se
1 2 1 1
Direct
0.000 0.000 0.000
0.500 0.000 0.000
0.000 0.500 0.000
0.500 0.500 0.500
0.000 0.000 0.500

---

ZnCo2SbN (PBEsol, optimized geometry); symmetry = P4/mmm; final energy = -22.44 eV per cell
1.0
-0.844 3.628 -1.610
-4.431 -0.433 1.348
1.033 2.039 4.052
Co Sb N Zn
2 1 1 1
Direct
0.000 0.500 0.000
0.000 0.000 0.500
0.000 0.000 0.000
0.500 0.000 0.000
0.500 0.500 0.500

---

Sc2CoTcN (PBEsol, optimized geometry); symmetry = P4/mmm; final energy = -43.63 eV per cell
1.0
-2.789 1.847 -1.012
-1.999 -3.733 -1.306
-1.771 -0.463 4.035
Sc Co Tc N
2 1 1 1
Direct
0.000 0.500 0.000
0.000 0.000 0.500
0.500 0.000 0.000
0.500 0.500 0.500
0.000 0.000 0.000